## i
The following is a PBE calculation of a geometry-optimized BaSrTa2 structure, from the Alexandria database.

Cell lengths 11.3818, 11.3818, 11.3818 Å; angles 17.96, 17.96, 17.96 degrees
Element x y z (fractional)
Ta (0.9850, 0.9850, 0.9850)
Ta (0.2662, 0.2662, 0.2662)
Ba (0.5154, 0.5154, 0.5154)
Sr (0.7334, 0.7334, 0.7334)

Summary:
SG = R3m (160)
density of states at the Fermi level = 1.587 states/eV per atom

## ii
The following is a PBE calculation of a geometry-optimized BaSrTa2 structure, from the Alexandria database.

Cell lengths 6.3997, 6.3997, 6.3997 Å; angles 140.35, 140.35, 57.32 degrees
Element x y z (fractional)
Ba (0.2500, 0.7500, 0.5000)
Ta (0.0000, 0.0000, 0.0000)
Ta (0.5000, 0.5000, 0.0000)
Sr (0.7500, 0.2500, 0.5000)

Summary:
SG = I4/mmm (139)
density of states at the Fermi level = 1.457 states/eV per atom

## iii
The following is a PBE calculation of a geometry-optimized BaSrTa2 structure, from the Alexandria database.

Cell lengths 3.6617, 3.6653, 10.3581 Å; angles 69.67, 90.00, 90.00 degrees
Element x y z (fractional)
Ta (0.5000, 0.3287, 0.1722)
Ta (0.0000, 0.9295, 0.0698)
Ba (0.0000, 0.5709, 0.4329)
Sr (0.5000, 0.6709, 0.8252)

Summary:
SG = Pm (6)
density of states at the Fermi level = 1.136 states/eV per atom

Least stable = ii

## i
The following is a PBE calculation of a geometry-optimized BaSr2Ta structure, from the Alexandria database.

Cell lengths 5.3687, 5.4746, 5.4746 Å; angles 90.00, 90.00, 90.00 degrees
Site moments in Bohr magnetons follow the coordinates.
Element x y z (fractional)
Sr (0.0000, 0.5000, 0.5000)  0.02
Sr (0.0000, 0.0000, 0.0000)  0.02
Ba (0.5000, 0.0000, 0.5000)  0.04
Ta (0.5000, 0.5000, 0.0000)  1.69

Summary:
SG = P4/mmm (123)
density of states at the Fermi level = 1.069 states/eV per atom

## ii
The following is a PBE calculation of a geometry-optimized BaSr2Ta structure, from the Alexandria database.

Cell lengths 6.4816, 6.4816, 6.4816 Å; angles 129.40, 129.40, 74.36 degrees
Site moments in Bohr magnetons follow the coordinates.
Element x y z (fractional)
Ba (0.7500, 0.2500, 0.5000)  0.05
Sr (0.5000, 0.5000, 0.0000)  0.05
Sr (0.0000, 0.0000, 0.0000)  0.05
Ta (0.2500, 0.7500, 0.5000)  1.79

Summary:
SG = I4/mmm (139)
density of states at the Fermi level = 1.300 states/eV per atom

## iii
The following is a PBE calculation of a geometry-optimized BaSr2Ta structure, from the Alexandria database.

Cell lengths 6.0379, 6.0379, 6.0379 Å; angles 60.00, 60.00, 60.00 degrees
Site moments in Bohr magnetons follow the coordinates.
Element x y z (fractional)
Ba (0.0000, 0.0000, 0.0000)  0.02
Sr (0.7500, 0.7500, 0.7500)  0.06
Sr (0.2500, 0.2500, 0.2500)  0.06
Ta (0.5000, 0.5000, 0.5000)  1.81

Summary:
SG = Fm-3m (225)
density of states at the Fermi level = 1.498 states/eV per atom

## iv
The following is a PBE calculation of a geometry-optimized BaSr2Ta structure, from the Alexandria database.

Cell lengths 3.9801, 3.9801, 10.4577 Å; angles 90.00, 90.00, 90.00 degrees
Site moments in Bohr magnetons follow the coordinates.
Element x y z (fractional)
Sr (0.0000, 0.0000, 0.0080)  -0.03
Sr (0.5000, 0.5000, 0.3085)  0.07
Ta (0.0000, 0.0000, 0.4936)  1.34
Ba (0.5000, 0.5000, 0.6899)  0.08

Summary:
SG = P4mm (99)
density of states at the Fermi level = 1.563 states/eV per atom

Least stable = i

## i
The following is a PBE calculation of a geometry-optimized BaSr2Ta structure, from the Alexandria database.

Cell lengths 12.9175, 12.9175, 12.9175 Å; angles 16.42, 16.42, 16.42 degrees
Element x y z (fractional)
Ta (0.2500, 0.2500, 0.2500)
Ba (0.7500, 0.7500, 0.7500)
Sr (0.9851, 0.9851, 0.9851)
Sr (0.5149, 0.5149, 0.5149)

Summary:
SG = R-3m (166)
density of states at the Fermi level = 1.629 states/eV per atom

## ii
The following is a PBE calculation of a geometry-optimized BaSr2Ta structure, from the Alexandria database.

Cell lengths 6.4675, 6.4675, 6.4675 Å; angles 128.91, 128.91, 75.15 degrees
Site moments in Bohr magnetons follow the coordinates.
Element x y z (fractional)
Ta (0.5000, 0.5000, 0.0000)  1.80
Sr (0.2500, 0.7500, 0.5000)  0.05
Sr (0.0000, 0.0000, 0.0000)  0.02
Ba (0.7500, 0.2500, 0.5000)  0.08

Summary:
SG = I-4m2 (119)
density of states at the Fermi level = 1.321 states/eV per atom

Least stable = ii

## i
The following is a PBE calculation of a geometry-optimized BaSr2Ta structure, from the Alexandria database.

Cell lengths 6.7304, 6.7304, 3.6298 Å; angles 90.00, 90.00, 112.54 degrees
Site moments in Bohr magnetons follow the coordinates.
Element x y z (fractional)
Sr (0.5000, 0.5000, 0.0000)  0.01
Sr (0.0000, 0.0000, 0.0000)  0.01
Ba (0.0000, 0.5000, 0.5000)  -0.01
Ta (0.5000, 0.0000, 0.5000)  1.34

Summary:
SG = Cmmm (65)
density of states at the Fermi level = 1.578 states/eV per atom

## ii
The following is a PBE calculation of a geometry-optimized BaSr2Ta structure, from the Alexandria database.

Cell lengths 7.6518, 7.6518, 6.4640 Å; angles 65.19, 65.19, 29.15 degrees
Site moments in Bohr magnetons follow the coordinates.
Element x y z (fractional)
Sr (0.4521, 0.4521, 0.5478)  0.01
Sr (0.0479, 0.0479, 0.9522)  0.01
Ta (0.7500, 0.7500, 0.7500)  1.26
Ba (0.2500, 0.2500, 0.2500)  0.03

Summary:
SG = C2/m (12)
density of states at the Fermi level = 1.380 states/eV per atom

## iii
The following is a PBE calculation of a geometry-optimized BaSr2Ta structure, from the Alexandria database.

Cell lengths 7.0868, 7.1400, 3.6089 Å; angles 79.84, 81.15, 117.22 degrees
Site moments in Bohr magnetons follow the coordinates.
Element x y z (fractional)
Ta (0.0000, 0.5000, 0.5000)  1.46
Sr (0.5000, 0.0000, 0.5000)  0.01
Sr (0.0000, 0.0000, 0.0000)  0.01
Ba (0.5000, 0.5000, 0.0000)  0.00

Summary:
SG = C2/m (12)
density of states at the Fermi level = 1.264 states/eV per atom

Least stable = i

## i
The following is a PBE calculation of a geometry-optimized BaSr2Ta structure, from the Alexandria database.

Cell lengths 7.6218, 7.6218, 6.3958 Å; angles 65.22, 65.22, 29.42 degrees
Site moments in Bohr magnetons follow the coordinates.
Element x y z (fractional)
Ba (0.2012, 0.2012, 0.2987)  0.04
Sr (0.0001, 0.0001, 0.0000)  0.02
Sr (0.7989, 0.7989, 0.7009)  0.03
Ta (0.4998, 0.4998, 0.5004)  1.36

Summary:
SG = Imm2 (44)
density of states at the Fermi level = 1.404 states/eV per atom

## ii
The following is a PBE calculation of a geometry-optimized BaSr2Ta structure, from the Alexandria database.

Cell lengths 3.9930, 3.9886, 10.4655 Å; angles 90.00, 90.00, 90.00 degrees
Site moments in Bohr magnetons follow the coordinates.
Element x y z (fractional)
Ta (0.5000, 0.5000, 0.2500)  1.33
Ba (0.5000, 0.5000, 0.7500)  -0.05
Sr (0.0000, 0.0000, 0.4342)  0.07
Sr (0.0000, 0.0000, 0.0658)  0.07

Summary:
SG = P4/mmm (123)
density of states at the Fermi level = 1.774 states/eV per atom

## iii
The following is a PBE calculation of a geometry-optimized BaSr2Ta structure, from the Alexandria database.

Cell lengths 5.0507, 5.0507, 12.6607 Å; angles 78.49, 78.49, 90.00 degrees
Element x y z (fractional)
Sr (0.6513, 0.1250, 0.2500)
Sr (0.0987, 0.6250, 0.2500)
Sr (0.3750, 0.3487, 0.7500)
Sr (0.8750, 0.9013, 0.7500)
Ba (0.5000, 0.5000, 0.0000)
Ba (0.2500, 0.7500, 0.5000)
Ta (0.0000, 0.0000, 0.0000)
Ta (0.7500, 0.2500, 0.5000)

Summary:
SG = I-42d (122)
density of states at the Fermi level = 2.362 states/eV per atom

Least stable = iii

## i
The following is a PBE calculation of a geometry-optimized Ba2SrTa2 structure, from the Alexandria database.

Cell lengths 3.8507, 3.8507, 13.6630 Å; angles 81.90, 81.90, 90.00 degrees
Element x y z (fractional)
Ba (0.3652, 0.3652, 0.2697)
Ba (0.6348, 0.6348, 0.7303)
Sr (0.0000, 0.0000, 0.0000)
Ta (0.7500, 0.2500, 0.5000)
Ta (0.2500, 0.7500, 0.5000)

Summary:
SG = I4/mmm (139)
density of states at the Fermi level = 1.489 states/eV per atom

## ii
The following is a PBE calculation of a geometry-optimized Ba2SrTa2 structure, from the Alexandria database.

Cell lengths 10.1204, 10.1204, 3.4146 Å; angles 90.00, 90.00, 90.00 degrees
Element x y z (fractional)
Ba (0.2006, 0.2994, 0.0000)
Ba (0.2994, 0.7994, 0.0000)
Ba (0.7994, 0.7006, 0.0000)
Ba (0.7006, 0.2006, 0.0000)
Sr (0.5000, 0.5000, 0.0000)
Sr (0.0000, 0.0000, 0.0000)
Ta (0.9139, 0.4139, 0.5000)
Ta (0.4139, 0.0861, 0.5000)
Ta (0.5861, 0.9139, 0.5000)
Ta (0.0861, 0.5861, 0.5000)

Summary:
SG = P4/mbm (127)
density of states at the Fermi level = 0.981 states/eV per atom

Least stable = ii